VASP calculation (meta-GGA SCAN) on SrSI2N at its PBEsol-relaxed geometry.

Uncorrected energy   -22.47 eV per atom
Energy relative to the elements, uncorrected   0.469 eV/atom

Geometry as CIF:
```
data_SrSI2N
_cell_length_a 6.2927
_cell_length_b 6.2927
_cell_length_c 4.9315
_cell_angle_alpha 90.00
_cell_angle_beta 90.00
_cell_angle_gamma 90.00
_space_group_name_H-M_alt 'P 4/m m m'
_space_group_IT_number 123
_space_group_name_Hall '-P 4 2'
loop_
_atom_site_label
_atom_site_type_symbol
_atom_site_fract_x
_atom_site_fract_y
_atom_site_fract_z
Sr1 Sr 0.0000 0.0000 0.0000
S1 S 0.5000 0.5000 0.5000
I1 I 0.0000 0.5000 0.0000
N1 N 0.0000 0.0000 0.5000
```

=====

VASP calculation (meta-GGA SCAN) on NbGaP2Cl at its PBEsol-relaxed geometry.

Uncorrected energy   -14.94 eV per atom
Energy relative to the elements, uncorrected   0.711 eV/atom

Geometry as CIF:
```
data_NbGaP2Cl
_cell_length_a 4.5683
_cell_length_b 4.5683
_cell_length_c 4.6381
_cell_angle_alpha 90.00
_cell_angle_beta 90.00
_cell_angle_gamma 90.00
_space_group_name_H-M_alt 'P 4/m m m'
_space_group_IT_number 123
_space_group_name_Hall '-P 4 2'
loop_
_atom_site_label
_atom_site_type_symbol
_atom_site_fract_x
_atom_site_fract_y
_atom_site_fract_z
Nb1 Nb 0.0000 0.0000 0.0000
Ga1 Ga 0.5000 0.5000 0.5000
P1 P 0.0000 0.5000 0.5000
Cl1 Cl 0.5000 0.5000 0.0000
```

=====

VASP calculation (meta-GGA SCAN) on K2BaSc at its PBEsol-relaxed geometry.

ΔE_f   0.367 eV per atom
Energy relative to the lowest polymorph listed for this composition   0.000 eV/atom
Uncorrected energy   -17.24 eV per atom

Geometry as CIF:
```
data_K2BaSc
_cell_length_a 3.9222
_cell_length_b 3.9234
_cell_length_c 12.8811
_cell_angle_alpha 90.00
_cell_angle_beta 90.21
_cell_angle_gamma 90.00
_space_group_name_H-M_alt 'P 1 m 1'
_space_group_IT_number 6
_space_group_name_Hall 'P -2y'
loop_
_atom_site_label
_atom_site_type_symbol
_atom_site_fract_x
_atom_site_fract_y
_atom_site_fract_z
K1 K 0.0000 0.0000 0.0000
K2 K 0.4912 0.5000 0.2998
Ba1 Ba 0.4975 0.5000 0.7145
Sc1 Sc 0.9946 0.0000 0.5254
```

=====

VASP calculation (meta-GGA SCAN) on Mg2CdAs2 at its PBEsol-relaxed geometry.

ΔE_f   -0.324 eV per atom
Energy relative to the lowest polymorph listed for this composition   0.000 eV/atom
Uncorrected energy   -16.47 eV per atom

Geometry as CIF:
```
data_Mg2CdAs2
_cell_length_a 4.7991
_cell_length_b 4.7991
_cell_length_c 9.6970
_cell_angle_alpha 90.00
_cell_angle_beta 90.00
_cell_angle_gamma 90.00
_space_group_name_H-M_alt 'I 4/m m m'
_space_group_IT_number 139
_space_group_name_Hall '-I 4 2'
loop_
_atom_site_label
_atom_site_type_symbol
_atom_site_fract_x
_atom_site_fract_y
_atom_site_fract_z
Mg1 Mg 0.0000 0.5000 0.2500
Cd1 Cd 0.0000 0.0000 0.0000
As1 As 0.0000 0.0000 0.3746
```

=====

Question: uncorrected energy of number 3 (K2BaSc)?
Answer: -17.24 eV per atom